Entry 1:
VASP calculation (GGA-PBE) on a relaxed MoRu5 crystal.

a b c (Å): 2.7244 2.7244 11.5296
angles (deg): 90.00 90.00 90.00
Fractional coordinates of all 6 atoms:
Ru (0.0000, 0.0000, 0.3280)
Ru (0.0000, 0.0000, 0.6720)
Ru (0.0000, 0.0000, 0.0000)
Ru (0.5000, 0.5000, 0.1648)
Mo (0.5000, 0.5000, 0.5000)
Ru (0.5000, 0.5000, 0.8352)

Output
crystal system = tetragonal
total moment = 0.00 μB/f.u.
space-group type = P4/mmm, No. 123
ΔE_f = 97.8 meV per atom

=====

Entry 2:
VASP calculation (GGA-PBE) on a relaxed Ca2YF6 crystal.

a b c (Å): 5.1899 5.1899 11.2288
angles (deg): 90.00 90.00 90.00
Each line ends with the local moment (μB).
Fractional coordinates of all 18 atoms:
F (0.3026, 0.3026, 0.0000)  0.01
Ca (0.0000, 0.0000, 0.6630)  0.01
F (0.6835, 0.6835, 0.3283)  0.01
Ca (0.5000, 0.5000, 0.8370)  0.01
Ca (0.5000, 0.5000, 0.1630)  0.01
F (0.8165, 0.1835, 0.1717)  0.01
F (0.3165, 0.3165, 0.3283)  0.01
F (0.6974, 0.6974, 0.0000)  0.01
F (0.1835, 0.8165, 0.1717)  0.01
F (0.6835, 0.6835, 0.6717)  0.01
F (0.8165, 0.1835, 0.8283)  0.01
F (0.3165, 0.3165, 0.6717)  0.01
F (0.1835, 0.8165, 0.8283)  0.01
F (0.1974, 0.8026, 0.5000)  0.01
Ca (0.0000, 0.0000, 0.3370)  0.01
Y (0.0000, 0.0000, 0.0000)  0.29
F (0.8026, 0.1974, 0.5000)  0.01
Y (0.5000, 0.5000, 0.5000)  0.29

Output
crystal system = tetragonal
total moment = 0.63 μB/f.u.
formation energy from raw total energies = -3.68 eV per atom
space-group type = P4_2/mnm, No. 136

=====

Entry 3:
VASP calculation (GGA-PBE) on a relaxed SrGaMo crystal.

a b c (Å): 3.3886 3.3886 12.2322
angles (deg): 90.00 90.11 90.00
Fractional coordinates of all 6 atoms:
Mo (0.2505, 0.2500, 0.5548)
Sr (0.2525, 0.2500, 0.8516)
Sr (0.7475, 0.7500, 0.1484)
Mo (0.7495, 0.7500, 0.4452)
Ga (0.7516, 0.7500, 0.6700)
Ga (0.2484, 0.2500, 0.3300)

Output
crystal system = monoclinic
total moment = 0.00 μB/f.u.
space-group type = P2_1/m, No. 11
ΔE_f = -57.5 meV per atom

=====

Entry 4:
VASP calculation (GGA-PBE) on a relaxed TcRh2Br crystal.

a b c (Å): 2.8919 4.6693 4.6317
angles (deg): 90.00 90.00 90.00
Each line ends with the local moment (μB).
Fractional coordinates of all 4 atoms:
Br (0.0000, 0.5000, 0.5000)  0.01
Rh (0.5000, 0.5000, 0.0000)  0.26
Rh (0.0000, 0.0000, 0.0000)  0.21
Tc (0.5000, 0.0000, 0.5000)  1.08

Output
crystal system = orthorhombic
total moment = 1.64 μB/f.u.
formation energy from raw total energies = 0.72 eV per atom
space-group type = Pmmm, No. 47

=====

Entry 5:
VASP calculation (GGA-PBE) on a relaxed YAg3 crystal.

a b c (Å): 3.2287 4.9644 5.2372
angles (deg): 90.00 90.00 90.00
Fractional coordinates of all 4 atoms:
Ag (0.5000, 0.0000, 0.5164)
Ag (0.0000, 0.0000, 0.9834)
Ag (0.5000, 0.5000, 0.8333)
Y (0.0000, 0.5000, 0.3337)

Output
crystal system = orthorhombic
total moment = 0.00 μB/f.u.
space-group type = Pmm2, No. 25
ΔE_f = -65.8 meV per atom

=====

Entry 6:
VASP calculation (GGA-PBE) on a relaxed Tm2BPt5 crystal.

a b c (Å): 5.9414 5.9414 5.9414
angles (deg): 86.70 121.92 121.92
Fractional coordinates of all 8 atoms:
Tm (0.5000, 0.2426, 0.7426)
Pt (0.0000, 0.2590, 0.2590)
B (0.0000, 0.0056, 0.0056)
Tm (0.5000, 0.7426, 0.2426)
Pt (0.0000, 0.7368, 0.2493)
Pt (0.5125, 0.2493, 0.2493)
Pt (0.0000, 0.2493, 0.7368)
Pt (0.4875, 0.7368, 0.7368)

Output
crystal system = tetragonal
total moment = 0.00 μB/f.u.
space-group type = I4mm, No. 107
ΔE_f = -994.7 meV per atom

=====

What did the fifth record say?
VASP calculation (GGA-PBE) on a relaxed YAg3 crystal.

a b c (Å): 3.2287 4.9644 5.2372
angles (deg): 90.00 90.00 90.00
Fractional coordinates of all 4 atoms:
Ag (0.5000, 0.0000, 0.5164)
Ag (0.0000, 0.0000, 0.9834)
Ag (0.5000, 0.5000, 0.8333)
Y (0.0000, 0.5000, 0.3337)

Output
crystal system = orthorhombic
total moment = 0.00 μB/f.u.
space-group type = Pmm2, No. 25
ΔE_f = -65.8 meV per atom

=====

Repeat the fourth record exactly.
VASP calculation (GGA-PBE) on a relaxed TcRh2Br crystal.

a b c (Å): 2.8919 4.6693 4.6317
angles (deg): 90.00 90.00 90.00
Each line ends with the local moment (μB).
Fractional coordinates of all 4 atoms:
Br (0.0000, 0.5000, 0.5000)  0.01
Rh (0.5000, 0.5000, 0.0000)  0.26
Rh (0.0000, 0.0000, 0.0000)  0.21
Tc (0.5000, 0.0000, 0.5000)  1.08

Output
crystal system = orthorhombic
total moment = 1.64 μB/f.u.
formation energy from raw total energies = 0.72 eV per atom
space-group type = Pmmm, No. 47

=====

Q: Which of these has the highest total moment?
A: TcRh2Br